First-principles (PBE) data for crystalline RbMgSc2Mo at its relaxed geometry, as listed in Alexandria via LeMat-Bulk.

Energy relative to the elements   2.070 eV per atom
Total DFT energy (no corrections)   -15.7 eV/cell

Lattice parameters (Å, degrees): 4.904 4.904 4.987 90.00 90.00 90.00
Sites, in units of the cell vectors:
Rb  0.000  0.000  0.000
Mg  0.000  0.000  0.500
Sc  0.000  0.500  0.000
Sc  0.500  0.000  0.000
Mo  0.500  0.500  0.500